Entry 1:
The following is a GGA-PBE calculation of a relaxed structure of Rb2Pm2GaO6, from the Alexandria database.

Summary:
Its space group is C2/m.

abc: 5.9835 5.9835 6.9126
angles: 97.22 97.22 120.40
Last column: nearest neighbours and their distance in Å.
Atoms (fractional coordinates):
O 0.6454 0.9567 0.3332  1 Ga 2.16, 2 Pm 2.35-2.36
O 0.7621 0.7621 0.6597  1 Ga 2.00
Ga 0.0000 0.0000 0.5000  6 O 2.00-2.16
Pm 0.3359 0.6641 0.5000  6 O 2.35-2.38
O 0.2379 0.2379 0.3403  1 Ga 2.00
O 0.3546 0.0433 0.6668  1 Ga 2.16, 2 Pm 2.35-2.36
O 0.0433 0.3546 0.6668  1 Ga 2.16, 2 Pm 2.35-2.36
Pm 0.6641 0.3359 0.5000  6 O 2.35-2.38
Rb 0.1599 0.8401 0.0000  6 O 2.84-3.18
O 0.9567 0.6454 0.3332  1 Ga 2.16, 2 Pm 2.35-2.36
Rb 0.8401 0.1599 0.0000  6 O 2.84-3.18



Entry 2:
The following is a GGA-PBE calculation of a relaxed structure of RbPm4Ga3O12, from the Alexandria database.

Summary:
Its space group is Im-3.

abc: 7.3198 7.3198 7.3198
angles: 109.47 109.47 109.47
Last column: nearest neighbours and their distance in Å.
Atoms (fractional coordinates):
Ga 0.5000 0.0000 0.5000  4 O 1.91
O 0.6650 0.1551 0.8201  1 Ga 1.91
Ga 0.5000 0.5000 0.0000  4 O 1.91
Pm 0.5000 0.5000 0.5000  6 O 2.37
Pm 0.5000 0.0000 0.0000  6 O 2.37
Pm 0.0000 0.0000 0.5000  6 O 2.37
O 0.4901 0.3350 0.1551  1 Ga 1.91
Ga 0.0000 0.5000 0.5000  4 O 1.91
O 0.1551 0.4901 0.3350  1 Ga 1.91
O 0.3350 0.8449 0.1799  1 Ga 1.91
O 0.6650 0.8449 0.5099  1 Ga 1.91
O 0.3350 0.1551 0.4901  1 Ga 1.91
O 0.1551 0.8201 0.6650  1 Ga 1.91
O 0.1799 0.3350 0.8449  1 Ga 1.91
O 0.8449 0.1799 0.3350  1 Ga 1.91
O 0.8201 0.6650 0.1551  1 Ga 1.91
O 0.5099 0.6650 0.8449  1 Ga 1.91
Rb 0.0000 0.0000 0.0000  12 O 3.12
Pm 0.0000 0.5000 0.0000  6 O 2.37
O 0.8449 0.5099 0.6650  1 Ga 1.91



Entry 3:
The following is a GGA-PBE calculation of a relaxed structure of RbPm3Ga4O12, from the Alexandria database.

Summary:
Its space group is R32.

abc: 7.4502 7.4502 7.4502
angles: 107.62 107.62 107.62
Last column: nearest neighbours and their distance in Å.
Atoms (fractional coordinates):
Ga 0.5000 0.9473 0.0527  3 O 1.80-1.81
O 0.9278 0.2023 0.3497  1 Ga 1.81
O 0.2023 0.3497 0.9278  1 Ga 1.81
Pm 0.0000 0.5493 0.4507  6 O 2.30-2.39
O 0.6503 0.7977 0.0722  1 Ga 1.81
O 0.3506 0.6494 0.5000  1 Ga 1.80
O 0.6494 0.5000 0.3506  1 Ga 1.80
O 0.5000 0.3506 0.6494  1 Ga 1.80
Ga 0.9473 0.0527 0.5000  3 O 1.80-1.81
O 0.3497 0.9278 0.2023  1 Ga 1.81
Ga 0.5000 0.5000 0.5000  3 O 1.80
O 0.7977 0.0722 0.6503  1 Ga 1.81
Ga 0.0527 0.5000 0.9473  3 O 1.80-1.81
O 0.9032 0.5000 0.0968  1 Ga 1.80
O 0.0968 0.9032 0.5000  1 Ga 1.80
Pm 0.4507 0.0000 0.5493  6 O 2.30-2.39
Rb 0.0000 0.0000 0.0000  6 O 2.88
O 0.0722 0.6503 0.7977  1 Ga 1.81
Pm 0.5493 0.4507 0.0000  6 O 2.30-2.39
O 0.5000 0.0968 0.9032  1 Ga 1.80



In eV/atom, the energy relative to the elements, uncorrected values for the records above are, in order, -2.15, -2.30, -2.09.